No. 1
CaZnNi2: relaxed, PBE.

The space group is Pmmm (No. 47) and the conventional cell measures 2.972, 3.373 and 6.312 Å, with angles of 90.00, 90.00 and 90.00 degrees. The asymmetric unit holds Ca at (0.000, 0.000, 0.000), Zn at (0.000, 0.000, 0.500) and Ni at (0.500, 0.500, 0.307).

The calculation puts the uncorrected energy at -3.75 eV per atom. Its density of states at the Fermi level is 2.9 states/eV/cell. The formation energy comes out at -0.04 eV per atom. The value obtained for the volume is 63.27 Å³ per cell.

No. 2
Ca2Zn5Ni4: relaxed, PBE.

The space group is C2/m (No. 12) and the conventional cell measures 11.896, 5.275 and 7.780 Å, with angles of 90.00, 127.47 and 90.00 degrees. The asymmetric unit holds Ca at (0.229, 0.000, 0.295), Zn at (0.000, 0.500, 0.000), Zn at (0.042, 0.247, 0.752), Ni at (0.123, 0.000, 0.570) and Ni at (0.227, 0.500, 0.050).

The calculation puts the uncorrected energy at -3.21 eV per atom. Its density of states at the Fermi level is 13.4 states/eV/cell. The formation energy comes out at -0.17 eV per atom. The value obtained for the volume is 387.46 Å³ per cell.

No. 3
CaZn2Ni2: relaxed, PBE.

The space group is I4/mmm (No. 139) and the conventional cell measures 4.052, 4.052 and 20.477 Å, with angles of 90.00, 90.00 and 90.00 degrees. The asymmetric unit holds Ca at (0.000, 0.000, 0.130), Zn at (0.000, 0.000, 0.316), Zn at (0.000, 0.500, 0.000), Ni at (0.000, 0.000, 0.435) and Ni at (0.000, 0.500, 0.250).

The calculation puts the uncorrected energy at -3.45 eV per atom. Its density of states at the Fermi level is 9.3 states/eV/cell. The formation energy comes out at -0.22 eV per atom. Its energy above the most stable polymorph in this dataset is 0.0000 eV per atom. The value obtained for the volume is 336.15 Å³ per cell.

No. 4
CaZn3Ni2: relaxed, PBE.

The space group is P6/mmm (No. 191) and the conventional cell measures 9.0302, 9.0302 and 4.0854 Å, with angles of 90.00, 90.00 and 120.00 degrees. The asymmetric unit holds Ca at (0.0000, 0.0000, 0.0000), Ca at (0.3333, 0.6667, 0.5000), Zn at (0.0000, 0.2929, 0.5000), Zn at (0.0000, 0.5000, 0.0000) and Ni at (0.1822, 0.3644, 0.0000).

The calculation puts the uncorrected energy at -3.20 eV per atom. Its density of states at the Fermi level is 11.7 states/eV/cell. The formation energy comes out at -0.31 eV per atom. The value obtained for the volume is 288.51 Å³ per cell.

No. 5
CaZnNi: relaxed, PBE.

The space group is P-1 (No. 2) and the conventional cell measures 4.108, 5.345 and 6.023 Å, with angles of 74.90, 70.09 and 89.84 degrees. The asymmetric unit holds Ca at (0.118, 0.302, 0.265), Zn at (0.400, 0.264, 0.699) and Ni at (0.219, 0.879, 0.062).

The calculation puts the uncorrected energy at -3.27 eV per atom. Its density of states at the Fermi level is 3.1 states/eV/cell. The formation energy comes out at -0.25 eV per atom. The value obtained for the volume is 119.52 Å³ per cell.

No. 6
CaZnNi2: relaxed, PBE.

The space group is I-4m2 (No. 119) and the conventional cell measures 3.818, 3.818 and 8.475 Å, with angles of 90.00, 90.00 and 90.00 degrees. The asymmetric unit holds Ca at (0.000, 0.000, 0.000), Zn at (0.000, 0.500, 0.250), Ni at (0.000, 0.000, 0.500) and Ni at (0.000, 0.500, 0.750).

The calculation puts the uncorrected energy at -3.67 eV per atom. Its density of states at the Fermi level is 3.2 states/eV/cell. The formation energy comes out at 0.04 eV per atom. The value obtained for the volume is 123.57 Å³ per cell.

No. 7
Ca2Zn12Ni5: relaxed, PBE.

The space group is R-3m (No. 166, hexagonal axes) and the conventional cell measures 8.8689, 8.8689 and 12.7376 Å, with angles of 90.00, 90.00 and 120.00 degrees. The asymmetric unit holds Ca at (0.0000, 0.0000, 0.1639), Zn at (0.0000, 0.2851, 0.5000), Zn at (0.0180, 0.5090, 0.3499), Ni at (0.0000, 0.0000, 0.4011) and Ni at (0.0000, 0.5000, 0.0000).

The calculation puts the uncorrected energy at -2.78 eV per atom. Its density of states at the Fermi level is 24.9 states/eV/cell. The formation energy comes out at -0.24 eV per atom. The value obtained for the volume is 867.68 Å³ per cell.

No. 8
Ca2ZnNi3: relaxed, PBE.

The space group is P6_3/mmc (No. 194) and the conventional cell measures 5.2425, 5.2425 and 8.3364 Å, with angles of 90.00, 90.00 and 120.00 degrees. The asymmetric unit holds Ca at (0.3333, 0.6667, 0.0650), Zn at (0.0000, 0.0000, 0.0000) and Ni at (0.1670, 0.3339, 0.7500).

The calculation puts the uncorrected energy at -3.99 eV per atom. Its density of states at the Fermi level is 9.7 states/eV/cell. The formation energy comes out at -0.22 eV per atom. Its energy above the most stable polymorph in this dataset is 0.0000 eV per atom. The value obtained for the volume is 198.42 Å³ per cell.

No. 9
CaZnNi2: relaxed, PBE.

The space group is Fm-3m (No. 225) and the conventional cell measures 6.282, 6.282 and 6.282 Å, with angles of 90.00, 90.00 and 90.00 degrees. The asymmetric unit holds Ca at (0.000, 0.000, 0.000), Zn at (0.000, 0.000, 0.500) and Ni at (0.250, 0.250, 0.250).

The calculation puts the uncorrected energy at -3.70 eV per atom. Its density of states at the Fermi level is 12.1 states/eV/cell. The formation energy comes out at 0.01 eV per atom. The value obtained for the volume is 247.97 Å³ per cell.

No. 10
Ca3Zn2Ni7: relaxed, PBE.

The space group is R-3m (No. 166, hexagonal axes) and the conventional cell measures 5.1328, 5.1328 and 24.1246 Å, with angles of 90.00, 90.00 and 120.00 degrees. The asymmetric unit holds Ca at (0.0000, 0.0000, 0.0000), Ca at (0.0000, 0.0000, 0.1405), Zn at (0.0000, 0.0000, 0.3329), Ni at (0.0000, 0.0000, 0.5000) and Ni at (0.0026, 0.5013, 0.0825).

The calculation puts the uncorrected energy at -4.33 eV per atom. Its density of states at the Fermi level is 30.6 states/eV/cell. The formation energy comes out at -0.24 eV per atom. The value obtained for the volume is 550.43 Å³ per cell.

No. 11
CaZnNi: relaxed, PBE.

The space group is Imma (No. 74) and the conventional cell measures 5.355, 5.410 and 7.340 Å, with angles of 90.00, 90.00 and 90.00 degrees. The asymmetric unit holds Ca at (0.000, 0.250, 0.132), Zn at (0.250, 0.250, 0.750) and Ni at (0.000, 0.000, 0.500).

The calculation puts the uncorrected energy at -3.24 eV per atom. Its density of states at the Fermi level is 9.4 states/eV/cell. The formation energy comes out at -0.22 eV per atom. The value obtained for the volume is 212.62 Å³ per cell.

No. 12
CaZnNi2: relaxed, PBE.

The space group is Cm (No. 8) and the conventional cell measures 10.208, 3.051 and 4.447 Å, with angles of 90.00, 115.66 and 90.00 degrees. The asymmetric unit holds Ca at (0.000, 0.000, 0.000), Zn at (0.285, 0.500, 0.286), Ni at (0.008, 0.500, 0.508) and Ni at (0.224, 0.000, 0.723).

The calculation puts the uncorrected energy at -3.69 eV per atom. Its density of states at the Fermi level is 4.4 states/eV/cell. The formation energy comes out at 0.02 eV per atom. The value obtained for the volume is 124.85 Å³ per cell.